6
Lattice="1.861 -6.045 0.000 1.861 6.045 0.000 0.000 0.000 3.385" Properties=species:S:1:pos:R:3 comment="CeBN, relaxed, DFT GGA-PBE" final_energy_ev_per_atom=-8.207 e_above_lowest_polymorph_ev_per_atom=0.000 total_magnetization_mub_per_cell=0.00 formation_energy_uncorrected_ev_per_atom=-1.2284 pbc="T T T"
Ce 1.861 4.348 2.539
Ce 1.861 -4.348 0.846
B 1.861 0.429 2.539
B 1.861 -0.429 0.846
N 1.861 1.921 2.539
N 1.861 -1.921 0.846